Compound: In4Sn5Bi
Source: Alexandria via LeMat-Bulk
Functional: PBE-GGA
Structure: optimized geometry

Structure (POSCAR):
```
In4Sn5Bi
1.0
3.529 0.000 0.000
0.000 3.529 0.000
0.000 0.000 22.403
In Sn Bi
4 5 1
Direct
0.000 0.000 0.098
0.000 0.000 0.295
0.000 0.000 0.705
0.000 0.000 0.902
0.500 0.500 0.000
0.500 0.500 0.198
0.500 0.500 0.395
0.500 0.500 0.605
0.500 0.500 0.802
0.000 0.000 0.500
```

Output
The calculation puts the energy relative to the elements at 40 kJ/mol of formula units. For the total magnetic moment, the calculation gives 0.0 μB per formula unit. Its calculated volume is 279.0 Å³ per cell.



Compound: In7SnBi5
Source: Alexandria via LeMat-Bulk
Functional: PBE-GGA
Structure: optimized geometry

Structure (POSCAR):
```
In7SnBi5
1.0
6.662 -6.367 0.000
6.662 6.367 0.000
-1.826 0.000 4.650
In Sn Bi
7 1 5
Direct
0.000 0.000 0.000
0.153 0.573 0.864
0.573 0.153 0.864
0.577 0.577 0.080
0.740 0.740 0.744
0.740 0.994 0.370
0.994 0.740 0.370
0.370 0.370 0.361
0.195 0.195 0.687
0.361 0.977 0.167
0.365 0.737 0.549
0.737 0.365 0.549
0.977 0.361 0.167
```

Output
The calculation puts the energy relative to the elements at 62 kJ/mol of formula units. For the total magnetic moment, the calculation gives 0.0 μB per formula unit. Its calculated volume is 394.4 Å³ per cell.



Compound: In3SnBi
Source: Alexandria via LeMat-Bulk
Functional: PBE-GGA
Structure: optimized geometry

Structure (POSCAR):
```
In3SnBi
1.0
4.935 0.000 0.000
0.000 5.057 0.000
-2.363 0.000 11.527
In Sn Bi
6 2 2
Direct
0.050 0.250 0.099
0.159 0.750 0.309
0.351 0.750 0.694
0.649 0.250 0.306
0.841 0.250 0.691
0.950 0.750 0.901
0.232 0.250 0.480
0.768 0.750 0.520
0.427 0.250 0.876
0.573 0.750 0.124
```

Output
The calculation puts the energy relative to the elements at 11 kJ/mol of formula units. For the total magnetic moment, the calculation gives 0.0 μB per formula unit. The calculation puts the distance to the lowest polymorph of the same formula at 0 meV/atom. Its calculated volume is 287.6 Å³ per cell.



Compound: InSn3Bi
Source: Alexandria via LeMat-Bulk
Functional: PBE-GGA
Structure: optimized geometry

Structure (POSCAR):
```
InSn3Bi
1.0
7.808 0.000 0.000
0.000 4.321 0.000
-0.642 0.000 8.606
In Sn Bi
2 6 2
Direct
0.056 0.250 0.144
0.944 0.750 0.856
0.217 0.250 0.747
0.355 0.750 0.036
0.450 0.250 0.314
0.550 0.750 0.686
0.645 0.250 0.964
0.783 0.750 0.253
0.196 0.750 0.465
0.804 0.250 0.535
```

Output
The calculation puts the energy relative to the elements at 29 kJ/mol of formula units. For the total magnetic moment, the calculation gives 0.0 μB per formula unit. The calculation puts the distance to the lowest polymorph of the same formula at 0 meV/atom. Its calculated volume is 290.4 Å³ per cell.



Compound: InSnBi
Source: Alexandria via LeMat-Bulk
Functional: PBE-GGA
Structure: optimized geometry

Structure (POSCAR):
```
InSnBi
1.0
0.000 3.724 3.724
3.724 0.000 3.724
3.724 3.724 0.000
In Sn Bi
1 1 1
Direct
0.000 0.000 0.000
0.250 0.250 0.250
0.500 0.500 0.500
```

Output
The calculation puts the energy relative to the elements at 26 kJ/mol of formula units. For the total magnetic moment, the calculation gives 0.0 μB per formula unit. The calculation puts the distance to the lowest polymorph of the same formula at 37 meV/atom. Its calculated volume is 103.3 Å³ per cell.



Compound: In7Sn4Bi
Source: Alexandria via LeMat-Bulk
Functional: PBE-GGA
Structure: optimized geometry

Structure (POSCAR):
```
In7Sn4Bi
1.0
6.480 -3.078 0.000
6.480 3.078 0.000
-4.966 0.000 8.499
In Sn Bi
7 4 1
Direct
0.000 0.000 0.000
0.246 0.246 0.000
0.247 0.247 0.662
0.498 0.498 0.663
0.502 0.502 0.337
0.753 0.753 0.338
0.754 0.754 0.000
0.005 0.005 0.671
0.248 0.248 0.332
0.752 0.752 0.668
0.995 0.995 0.329
0.500 0.500 0.000
```

Output
The calculation puts the energy relative to the elements at 59 kJ/mol of formula units. For the total magnetic moment, the calculation gives 0.0 μB per formula unit. Its calculated volume is 339.0 Å³ per cell.



Compound: In5Sn4Bi2
Source: Alexandria via LeMat-Bulk
Functional: PBE-GGA
Structure: optimized geometry

Structure (POSCAR):
```
In5Sn4Bi2
1.0
11.545 -1.667 0.000
11.545 1.667 0.000
-2.914 0.000 8.315
In Sn Bi
5 4 2
Direct
0.000 0.000 0.000
0.262 0.262 0.165
0.363 0.363 0.861
0.637 0.637 0.139
0.738 0.738 0.835
0.190 0.190 0.504
0.444 0.444 0.630
0.556 0.556 0.370
0.810 0.810 0.496
0.410 0.410 0.251
0.590 0.590 0.749
```

Output
The calculation puts the energy relative to the elements at 53 kJ/mol of formula units. For the total magnetic moment, the calculation gives 0.0 μB per formula unit. Its calculated volume is 320.0 Å³ per cell.



Compound: InSnBi
Source: Alexandria via LeMat-Bulk
Functional: PBE-GGA
Structure: optimized geometry

Structure (POSCAR):
```
InSnBi
1.0
3.426 0.000 0.000
-1.713 2.967 0.000
0.000 0.000 8.631
In Sn Bi
1 1 1
Direct
0.000 0.000 0.000
0.333 0.667 0.681
0.667 0.333 0.340
```

Output
The calculation puts the energy relative to the elements at 19 kJ/mol of formula units. For the total magnetic moment, the calculation gives 0.0 μB per formula unit. The calculation puts the distance to the lowest polymorph of the same formula at 13 meV/atom. Its calculated volume is 87.7 Å³ per cell.